MnCdInF6 GGA+U optimized geometry; DOS(E_F) = 0.17 states/eV/atom; crystal system = trigonal; total DFT energy (no corrections) = -85.86 eV for the cell shown
1.0
5.783 0.000 0.000
-2.892 5.008 0.000
0.000 0.000 9.539
Mn Cd In F
2 2 2 12
Direct
0.333 0.667 0.250 Mn
0.667 0.333 0.750 Mn
0.000 0.000 0.000 Cd
0.000 0.000 0.500 Cd
0.333 0.667 0.750 In
0.667 0.333 0.250 In
0.012 0.347 0.132 F
0.012 0.665 0.368 F
0.335 0.347 0.368 F
0.335 0.988 0.132 F
0.347 0.012 0.632 F
0.347 0.335 0.868 F
0.653 0.665 0.132 F
0.653 0.988 0.368 F
0.665 0.012 0.868 F
0.665 0.653 0.632 F
0.988 0.335 0.632 F
0.988 0.653 0.868 F